Entry 1:
VASP calculation (GGA-PBE) on an optimized crystal structure of Ba2FeCSe.

Values from the calculation:
- SG = P4/mmm
- density (kg/m3) = 5363
- E_form (uncorrected) (meV per atom) = -380

POSCAR file:
```
Ba2FeCSe
1.0
-1.7312 -3.2377 4.5675
-2.5993 -1.6998 -2.1901
3.9088 -4.1218 -1.4402
C Ba Se Fe
1 2 1 1
direct
0.0000 0.0000 0.0000
0.0000 0.0000 0.5000
0.5000 0.0000 0.0000
0.5000 0.5000 0.5000
0.0000 0.5000 0.0000
```

Entry 2:
VASP calculation (GGA-PBE) on an optimized crystal structure of BaFeTcC2.

Values from the calculation:
- SG = P4/mmm
- density (kg/m3) = 5483
- energy relative to the elements (eV/atom) = 3.94

POSCAR file:
```
BaFeTcC2
1.0
-1.9902 -2.4081 3.1960
4.0705 -0.0405 2.5043
-1.2347 3.7648 2.0678
Fe C Ba Tc
1 2 1 1
direct
0.0000 0.5000 0.0000
0.0000 0.0000 0.5000
0.5000 0.0000 0.0000
0.0000 0.0000 0.0000
0.5000 0.5000 0.5000
```

Entry 3:
VASP calculation (GGA-PBE) on an optimized crystal structure of BaTi2FeC.

Values from the calculation:
- SG = P4/mmm
- density (kg/m3) = 4493
- energy relative to the elements (eV/atom) = 3.25

POSCAR file:
```
BaTi2FeC
1.0
-0.9547 2.9073 -3.9010
3.4181 -1.9143 -2.2631
-3.1048 -3.4247 -1.7925
C Ti Ba Fe
1 2 1 1
direct
0.5000 0.5000 0.5000
0.0000 0.0000 0.5000
0.5000 0.0000 0.0000
0.0000 0.0000 0.0000
0.0000 0.5000 0.0000
```